Record 1
A plane-wave DFT calculation with PBE was carried out for an optimized crystal structure of NdErBiO2.

The structure in POSCAR format:
```
NdErBiO2
1.0
-1.969 1.969 6.889
1.969 -1.969 6.889
1.969 1.969 -6.889
Nd Er Bi O
1 1 1 2
direct
0.000 0.000 0.000 Nd
0.335 0.335 0.000 Er
0.669 0.669 0.000 Bi
0.409 0.909 0.500 O
0.909 0.409 0.500 O
```

Summary:
Uncorrected energy in eV per atom: -7.25
Space group: No. 107
Fermi-level density of states in states/eV per cell: 1.62

=====

Record 2
A plane-wave DFT calculation with PBE was carried out for an optimized crystal structure of TbEr3Sb3.

The structure in POSCAR format:
```
TbEr3Sb3
1.0
9.144 0.000 0.000
0.000 9.144 0.000
0.000 0.000 9.144
Tb Er Sb
4 12 12
direct
0.072 0.428 0.572 Tb
0.428 0.572 0.072 Tb
0.572 0.072 0.428 Tb
0.928 0.928 0.928 Tb
0.074 0.574 0.926 Er
0.177 0.823 0.323 Er
0.178 0.178 0.178 Er
0.322 0.822 0.678 Er
0.323 0.177 0.823 Er
0.426 0.426 0.426 Er
0.574 0.926 0.074 Er
0.677 0.677 0.677 Er
0.678 0.322 0.822 Er
0.822 0.678 0.322 Er
0.823 0.323 0.177 Er
0.926 0.074 0.574 Er
0.001 0.253 0.876 Sb
0.124 0.501 0.247 Sb
0.247 0.124 0.501 Sb
0.253 0.876 0.001 Sb
0.376 0.499 0.747 Sb
0.499 0.747 0.376 Sb
0.501 0.247 0.124 Sb
0.624 0.999 0.753 Sb
0.747 0.376 0.499 Sb
0.753 0.624 0.999 Sb
0.876 0.001 0.253 Sb
0.999 0.753 0.624 Sb
```

Summary:
Polymorph energy (0 for the lowest one) in meV per atom: 0.0
Uncorrected energy in eV per atom: -5.35
Space group: No. 198
Fermi-level density of states in states/eV per cell: 26.05